## Hf3Zr3Bi2Pt (PBE)

Data for a relaxed Hf3Zr3Bi2Pt crystal.

CIF file:
```
data_Hf3Zr3Bi2Pt
_symmetry_space_group_name_H-M 'P -6 2 m'
_symmetry_Int_Tables_number 189
_symmetry_space_group_name_Hall 'P -6 -2'
_cell_length_a 7.9386
_cell_length_b 7.9386
_cell_length_c 3.7173
_cell_angle_alpha 90.00
_cell_angle_beta 90.00
_cell_angle_gamma 120.00
loop_
_atom_site_label
_atom_site_fract_x
_atom_site_fract_y
_atom_site_fract_z
Hf1 0.0000 0.2454 0.0000
Zr1 0.0000 0.6016 0.5000
Bi1 0.3333 0.6667 0.0000
Pt1 0.0000 0.0000 0.5000
```

Properties
As for the total energy: -74.2 eV per cell.

***

## PuHfBi (PBE)

Data for a relaxed PuHfBi crystal.

CIF file:
```
data_PuHfBi
_symmetry_space_group_name_H-M 'F -4 3 m'
_symmetry_Int_Tables_number 216
_symmetry_space_group_name_Hall 'F -4 2 3'
_cell_length_a 6.917
_cell_length_b 6.917
_cell_length_c 6.917
_cell_angle_alpha 90.00
_cell_angle_beta 90.00
_cell_angle_gamma 90.00
loop_
_atom_site_label
_atom_site_fract_x
_atom_site_fract_y
_atom_site_fract_z
Pu1 0.000 0.000 0.000
Hf1 0.250 0.250 0.750
Bi1 0.000 0.000 0.500
```

Properties
As for the total energy: -107.3 eV per cell.

***

## RbHfBi (PBE)

Data for a relaxed RbHfBi crystal.

CIF file:
```
data_RbHfBi
_symmetry_space_group_name_H-M 'F -4 3 m'
_symmetry_Int_Tables_number 216
_symmetry_space_group_name_Hall 'F -4 2 3'
_cell_length_a 7.640
_cell_length_b 7.640
_cell_length_c 7.640
_cell_angle_alpha 90.00
_cell_angle_beta 90.00
_cell_angle_gamma 90.00
loop_
_atom_site_label
_atom_site_fract_x
_atom_site_fract_y
_atom_site_fract_z
Rb1 0.000 0.000 0.000
Hf1 0.250 0.250 0.250
Bi1 0.250 0.250 0.750
```

Properties
As for the total energy: -42.2 eV per cell.

***

## RbHfBi (PBE)

Data for a relaxed RbHfBi crystal.

CIF file:
```
data_RbHfBi
_symmetry_space_group_name_H-M 'F -4 3 m'
_symmetry_Int_Tables_number 216
_symmetry_space_group_name_Hall 'F -4 2 3'
_cell_length_a 7.631
_cell_length_b 7.631
_cell_length_c 7.631
_cell_angle_alpha 90.00
_cell_angle_beta 90.00
_cell_angle_gamma 90.00
loop_
_atom_site_label
_atom_site_fract_x
_atom_site_fract_y
_atom_site_fract_z
Rb1 0.000 0.000 0.000
Hf1 0.000 0.000 0.500
Bi1 0.250 0.250 0.750
```

Properties
As for the total energy: -50.2 eV per cell.